Record 1
16
Lattice="-2.316 2.270 -3.433 -3.965 -2.084 1.297 -2.513 9.921 8.255" Properties=species:S:1:pos:R:3 comment="PBE Li2InAg, optimized geometry" dos_at_fermi_per_ev_cell=2.5 density_g_cm3=5.4 delta_e_f_ev_per_atom=-0.242 space_group=Pnma pbc="T T T"
Li -1.888 2.293 -2.083
Li -6.907 7.815 8.203
Li -4.827 5.030 1.710
Li -3.967 5.078 4.410
Li -7.738 7.675 5.423
Li -3.349 2.617 2.366
Li -5.445 7.490 3.754
Li -1.056 2.432 0.697
In -2.545 4.882 0.073
In -4.172 2.439 -0.445
In -6.249 5.225 6.047
In -4.622 7.669 6.565
Ag -1.684 4.923 2.767
Ag -7.110 5.185 3.353
Ag -2.716 0.129 0.294
Ag -6.078 9.978 5.826

Record 2
11
Lattice="-2.364 -4.403 -0.490 6.749 -0.253 -1.834 2.051 1.335 6.556" Properties=species:S:1:pos:R:3 comment="PBE Li7InAg3, optimized geometry" dos_at_fermi_per_ev_cell=3.4 polymorph_energy_mev_per_atom=59.0 density_g_cm3=3.9 delta_e_f_ev_per_atom=-0.091 space_group=C2/m pbc="T T T"
Li 1.036 -0.627 0.699
Li 0.821 -0.650 3.699
Li 3.029 -1.797 5.152
Li 3.407 -1.524 -0.920
Li 4.400 0.541 2.361
Li 5.615 -2.671 0.533
Li 5.401 -2.694 3.534
In 3.218 -1.661 2.116
Ag 5.647 0.119 0.134
Ag -1.182 -2.202 -0.245
Ag 3.153 0.962 4.589

Record 3
20
Lattice="-0.480 -7.144 -0.720 4.388 0.336 -5.693 5.654 -0.764 4.385" Properties=species:S:1:pos:R:3 comment="PBE Li7InAg12, optimized geometry" dos_at_fermi_per_ev_cell=6.3 density_g_cm3=6.5 delta_e_f_ev_per_atom=-0.098 space_group=R-3 pbc="T T T"
Li 7.814 -6.460 0.216
Li 0.878 -2.904 0.349
Li 2.943 -0.394 0.714
Li 4.781 -3.786 -1.014
Li 6.619 -7.177 -2.742
Li 8.683 -4.668 -2.377
Li 1.748 -1.112 -2.244
In 0.000 0.000 0.000
Ag 5.046 -6.738 1.050
Ag 1.457 -5.144 -1.407
Ag 3.243 -4.599 0.787
Ag 4.086 -6.087 -1.716
Ag 4.485 -2.304 2.266
Ag 6.228 -4.111 1.004
Ag 3.334 -3.461 -3.032
Ag 5.076 -5.268 -4.294
Ag 5.476 -1.485 -0.312
Ag 6.319 -2.973 -2.815
Ag 8.105 -2.428 -0.622
Ag 4.516 -0.834 -3.078

Record 4
5
Lattice="1.101 2.844 3.643 -2.032 -0.647 4.218 3.303 -2.356 3.940" Properties=species:S:1:pos:R:3 comment="PBE Li2In2Ag, optimized geometry" dos_at_fermi_per_ev_cell=1.5 polymorph_energy_mev_per_atom=0.0 density_g_cm3=6.1 delta_e_f_ev_per_atom=-0.233 space_group=C2/m pbc="T T T"
Li 1.182 -0.545 3.167
Li 1.190 0.386 8.634
In 0.103 0.849 5.503
In 2.269 -1.008 6.298
Ag 0.000 0.000 0.000